Below is crystalline NdTm3Ru4 at its relaxed geometry, with properties calculated at the PBE level.

a = 4.7871 Å, b = 4.7871 Å, c = 23.6025 Å
α = 90.00°, β = 90.00°, γ = 120.00°
Space group R-3m (No. 166, hexagonal axes)
Symmetry-distinct sites (fractional):
1 Nd 0.0000 0.0000 0.0000
2 Tm 0.0000 0.0000 0.2475
3 Tm 0.0000 0.0000 0.5000
4 Ru 0.0000 0.0000 0.1264
5 Ru 0.0000 0.0000 0.3765

Values from the calculation:
**Formation energy**: -0.32 eV/atom
**Final energy**: -7.23 eV/atom
**Crystal system**: trigonal